(1)
Here is a relaxed AcHO crystal from Alexandria via LeMat-Bulk. Energies are from PBE.

Properties
**Calculated total energy**: -5.98 eV per atom
**Offset from the most stable computed form**: 0.941 eV/f.u.
**Crystal system**: trigonal

Lattice parameters (Å, degrees): 5.052 4.038 4.038 120.00 90.00 90.00
Fractional coordinates of all 3 atoms:
H 0.790 0.667 0.333
Ac 0.047 0.000 0.000
O 0.163 0.333 0.667


(2)
Here is a relaxed ScTiReW crystal from Alexandria via LeMat-Bulk. Energies are from PBE.

Properties
**Calculated total energy**: -9.94 eV per atom
**Crystal system**: cubic

Lattice parameters (Å, degrees): 4.545 4.545 4.545 60.00 60.00 60.00
Fractional coordinates of all 4 atoms:
Sc 0.250 0.250 0.250
Re 0.500 0.500 0.500
W 0.750 0.750 0.750
Ti 0.000 0.000 0.000


(3)
Here is a relaxed Na5Li2Bi5 crystal from Alexandria via LeMat-Bulk. Energies are from PBE.

Properties
**Calculated total energy**: -2.76 eV per atom
**Crystal system**: monoclinic

Lattice parameters (Å, degrees): 5.548 5.550 13.405 99.12 90.00 119.99
Fractional coordinates of all 12 atoms:
Na 0.500 0.000 0.500
Na 0.670 0.340 0.060
Na 0.754 0.508 0.350
Na 0.246 0.492 0.650
Na 0.330 0.660 0.940
Li 0.041 0.082 0.800
Li 0.959 0.918 0.200
Bi 0.118 0.236 0.401
Bi 0.720 0.439 0.781
Bi 0.280 0.561 0.219
Bi 0.882 0.764 0.599
Bi 0.000 0.000 0.000


(4)
Here is a relaxed LaY3Ru crystal from Alexandria via LeMat-Bulk. Energies are from PBE.

Properties
**Calculated total energy**: -6.91 eV per atom
**Offset from the most stable computed form**: 0.000 eV/f.u.
**Crystal system**: monoclinic

Lattice parameters (Å, degrees): 3.978 6.412 12.972 68.90 90.00 108.06
Fractional coordinates of all 10 atoms:
Y 0.197 0.481 0.150
Y 0.516 0.119 0.759
Y 0.856 0.799 0.620
Y 0.735 0.556 0.898
Y 0.549 0.185 0.387
Y 0.180 0.446 0.530
Ru 0.542 0.171 0.130
Ru 0.182 0.451 0.756
La 0.870 0.826 0.299
La 0.972 0.031 0.011


(5)
Here is a relaxed PrNd3Sc crystal from Alexandria via LeMat-Bulk. Energies are from PBE.

Properties
**Calculated total energy**: -5.02 eV per atom
**Offset from the most stable computed form**: 0.000 eV/f.u.
**Crystal system**: triclinic

Lattice parameters (Å, degrees): 3.564 8.543 12.298 114.18 90.08 102.02
Fractional coordinates of all 10 atoms:
Pr 0.636 0.269 0.734
Pr 0.364 0.731 0.266
Nd 0.075 0.152 0.450
Nd 0.670 0.344 0.054
Nd 0.028 0.058 0.158
Nd 0.925 0.848 0.550
Nd 0.972 0.942 0.842
Nd 0.330 0.656 0.946
Sc 0.285 0.567 0.636
Sc 0.715 0.433 0.364


(6)
Here is a relaxed MgRh crystal from Alexandria via LeMat-Bulk. Energies are from PBE.

Properties
**Calculated total energy**: -4.51 eV per atom
**Crystal system**: hexagonal

Lattice parameters (Å, degrees): 4.274 4.274 4.875 90.00 90.00 120.00
Fractional coordinates of all 4 atoms:
Mg 0.333 0.667 0.250
Mg 0.667 0.333 0.750
Rh 0.000 0.000 0.000
Rh 0.000 0.000 0.500


(7)
Here is a relaxed NaSn5Rh3 crystal from Alexandria via LeMat-Bulk. Energies are from PBE.

Properties
**Calculated total energy**: -5.03 eV per atom
**Crystal system**: monoclinic

Lattice parameters (Å, degrees): 7.536 7.536 9.832 63.31 63.31 75.20
Fractional coordinates of all 18 atoms:
Na 0.112 0.112 0.671
Na 0.888 0.888 0.329
Sn 0.932 0.377 0.335
Sn 0.290 0.710 0.000
Sn 0.778 0.778 0.004
Sn 0.420 0.420 0.359
Sn 0.580 0.580 0.641
Sn 0.222 0.222 0.996
Sn 0.377 0.932 0.335
Sn 0.710 0.290 0.000
Sn 0.068 0.623 0.665
Sn 0.623 0.068 0.665
Rh 0.686 0.686 0.812
Rh 0.649 0.649 0.325
Rh 0.000 0.000 0.000
Rh 0.000 0.000 0.500
Rh 0.314 0.314 0.188
Rh 0.351 0.351 0.675


(8)
Here is a relaxed BaAu12 crystal from Alexandria via LeMat-Bulk. Energies are from PBE.

Properties
**Calculated total energy**: -2.93 eV per atom
**Offset from the most stable computed form**: 5.542 eV/f.u.
**Crystal system**: cubic

Lattice parameters (Å, degrees): 8.131 8.131 8.131 60.00 60.00 60.00
Fractional coordinates of all 13 atoms:
Ba 0.000 0.000 0.000
Au 0.839 0.500 0.500
Au 0.161 0.500 0.500
Au 0.161 0.839 0.500
Au 0.500 0.500 0.161
Au 0.500 0.161 0.839
Au 0.500 0.839 0.161
Au 0.161 0.500 0.839
Au 0.500 0.161 0.500
Au 0.500 0.500 0.839
Au 0.839 0.500 0.161
Au 0.500 0.839 0.500
Au 0.839 0.161 0.500


(9)
Here is a relaxed AgP3 crystal from Alexandria via LeMat-Bulk. Energies are from PBE.

Properties
**Calculated total energy**: -4.44 eV per atom
**Offset from the most stable computed form**: 0.570 eV/f.u.
**Crystal system**: tetragonal

Lattice parameters (Å, degrees): 5.698 5.698 5.698 143.27 143.25 52.93
Fractional coordinates of all 4 atoms:
Ag 0.167 0.000 0.167
P 0.667 0.500 0.167
P 0.910 0.744 0.166
P 0.423 0.256 0.166


(10)
Here is a relaxed Zr2CoIr crystal from Alexandria via LeMat-Bulk. Energies are from PBE.

Properties
**Calculated total energy**: -8.62 eV per atom
**Crystal system**: monoclinic

Lattice parameters (Å, degrees): 5.239 5.239 4.706 79.29 79.29 33.22
Each line ends with the local moment (μB).
Fractional coordinates of all 4 atoms:
Co 0.483 0.483 0.461  0.15
Ir 0.771 0.771 0.782  0.00
Zr 0.015 0.015 0.949  -0.02
Zr 0.232 0.232 0.308  -0.01


(11)
Here is a relaxed LaTbO2 crystal from Alexandria via LeMat-Bulk. Energies are from PBE.

Properties
**Calculated total energy**: -7.60 eV per atom
**Offset from the most stable computed form**: 0.630 eV/f.u.
**Crystal system**: trigonal
**Energy relative to the elements, uncorrected**: -10.91 eV per formula unit

Lattice parameters (Å, degrees): 3.498 3.498 6.458 74.29 74.29 60.00
Fractional coordinates of all 4 atoms:
La 0.495 0.495 0.516
Tb 0.672 0.672 0.985
O 0.069 0.069 0.793
O 0.265 0.265 0.206


(12)
Here is a relaxed PrYTiN3 crystal from Alexandria via LeMat-Bulk. Energies are from PBE.

Properties
**Calculated total energy**: -8.65 eV per atom
**Crystal system**: monoclinic
**Energy relative to the elements, uncorrected**: -7.76 eV per formula unit

Lattice parameters (Å, degrees): 3.576 7.309 7.768 98.86 90.00 90.00
Fractional coordinates of all 12 atoms:
Pr 0.750 0.827 0.827
Pr 0.250 0.173 0.173
Y 0.250 0.634 0.156
Y 0.750 0.366 0.844
Ti 0.250 0.102 0.598
Ti 0.750 0.898 0.402
N 0.250 0.830 0.480
N 0.750 0.886 0.152
N 0.750 0.407 0.141
N 0.750 0.170 0.520
N 0.250 0.593 0.859
N 0.250 0.114 0.848


(13)
Here is a relaxed Zr2NiP crystal from Alexandria via LeMat-Bulk. Energies are from PBE.

Properties
**Calculated total energy**: -7.78 eV per atom
**Crystal system**: tetragonal

Lattice parameters (Å, degrees): 3.705 3.705 5.366 90.00 90.00 90.00
Fractional coordinates of all 4 atoms:
Zr 0.000 0.000 0.500
Zr 0.500 0.500 0.000
Ni 0.000 0.000 0.000
P 0.500 0.500 0.500


(14)
Here is a relaxed CeNdIn2 crystal from Alexandria via LeMat-Bulk. Energies are from PBE.

Properties
**Calculated total energy**: -4.46 eV per atom
**Crystal system**: orthorhombic

Lattice parameters (Å, degrees): 3.350 5.885 5.885 103.35 90.00 90.00
Each line ends with the local moment (μB).
Fractional coordinates of all 4 atoms:
Ce 0.500 0.000 0.000  0.91
Nd 0.500 0.500 0.500  -0.10
In 0.000 0.000 0.500  0.00
In 0.000 0.500 0.000  0.00


(15)
Here is a relaxed BiI3N crystal from Alexandria via LeMat-Bulk. Energies are from PBE.

Properties
**Calculated total energy**: -2.56 eV per atom
**Offset from the most stable computed form**: 0.520 eV/f.u.
**Crystal system**: cubic
**Energy relative to the elements, uncorrected**: 4.05 eV per formula unit

Lattice parameters (Å, degrees): 6.164 6.164 6.164 90.00 90.00 90.00
Each line ends with the local moment (μB).
Fractional coordinates of all 5 atoms:
I 0.000 0.500 0.000  0.01
I 0.000 0.000 0.500  0.01
I 0.500 0.000 0.000  0.01
Bi 0.000 0.000 0.000  0.00
N 0.500 0.500 0.500  1.93


(16)
Here is a relaxed CaMg2CuO4 crystal from Alexandria via LeMat-Bulk. Energies are from PBE.

Properties
**Calculated total energy**: -5.68 eV per atom
**Crystal system**: orthorhombic
**Energy relative to the elements, uncorrected**: -16.36 eV per formula unit

Lattice parameters (Å, degrees): 3.082 5.553 11.069 90.00 90.00 106.11
Each line ends with the local moment (μB).
Fractional coordinates of all 16 atoms:
Ca 0.134 0.269 0.750  0.00
Ca 0.866 0.731 0.250  0.00
Mg 0.372 0.744 0.534  0.00
Mg 0.628 0.256 0.034  0.00
Mg 0.628 0.256 0.466  0.00
Mg 0.372 0.744 0.966  0.00
Cu 0.868 0.736 0.750  0.50
Cu 0.132 0.264 0.250  0.50
O 0.254 0.507 0.114  0.08
O 0.746 0.493 0.614  0.08
O 0.746 0.493 0.886  0.08
O 0.254 0.507 0.386  0.08
O 0.000 0.000 0.500  0.01
O 0.000 0.000 0.000  0.01
O 0.473 0.947 0.750  0.19
O 0.527 0.053 0.250  0.19


(17)
Here is a relaxed Cs3NiB crystal from Alexandria via LeMat-Bulk. Energies are from PBE.

Properties
**Calculated total energy**: -1.76 eV per atom
**Crystal system**: cubic

Lattice parameters (Å, degrees): 6.329 6.329 6.329 90.00 90.00 90.00
Each line ends with the local moment (μB).
Fractional coordinates of all 5 atoms:
Cs 0.000 0.500 0.000  0.00
Cs 0.000 0.000 0.500  0.00
Cs 0.500 0.000 0.000  0.00
Ni 0.500 0.500 0.500  0.79
B 0.000 0.000 0.000  0.03


(18)
Here is a relaxed Ti5GeSb2 crystal from Alexandria via LeMat-Bulk. Energies are from PBE.

Properties
**Calculated total energy**: -6.51 eV per atom
**Crystal system**: orthorhombic
**Energy relative to the elements, uncorrected**: 0.25 eV per formula unit

Lattice parameters (Å, degrees): 4.795 6.861 11.387 90.00 90.00 110.45
Fractional coordinates of all 16 atoms:
Ti 0.895 0.789 0.869
Ti 0.895 0.789 0.631
Ti 0.305 0.611 0.477
Ti 0.305 0.611 0.023
Ti 0.693 0.385 0.250
Ti 0.307 0.615 0.750
Ti 0.695 0.389 0.523
Ti 0.695 0.389 0.977
Ti 0.105 0.211 0.131
Ti 0.105 0.211 0.369
Ge 0.716 0.432 0.750
Ge 0.284 0.568 0.250
Sb 0.889 0.779 0.387
Sb 0.889 0.779 0.113
Sb 0.111 0.221 0.613
Sb 0.111 0.221 0.887


(19)
Here is a relaxed SbAsIr2 crystal from Alexandria via LeMat-Bulk. Energies are from PBE.

Properties
**Calculated total energy**: -6.62 eV per atom
**Offset from the most stable computed form**: 0.627 eV/f.u.
**Crystal system**: tetragonal
**Energy relative to the elements, uncorrected**: -0.01 eV per formula unit

Lattice parameters (Å, degrees): 3.602 3.601 5.435 90.00 90.00 90.00
Fractional coordinates of all 4 atoms:
Sb 0.000 0.000 0.446
As 0.500 0.500 0.830
Ir 0.000 0.000 0.944
Ir 0.500 0.500 0.280


(20)
Here is a relaxed La2ZrNi crystal from Alexandria via LeMat-Bulk. Energies are from PBE.

Properties
**Calculated total energy**: -5.77 eV per atom
**Offset from the most stable computed form**: 1.419 eV/f.u.
**Crystal system**: cubic

Lattice parameters (Å, degrees): 5.250 5.250 5.250 60.00 60.00 60.00
Each line ends with the local moment (μB).
Fractional coordinates of all 4 atoms:
Ni 0.000 0.000 0.000  0.44
Zr 0.500 0.500 0.500  0.84
La 0.250 0.250 0.250  0.17
La 0.750 0.750 0.750  0.17


(21)
Here is a relaxed HgMoW2 crystal from Alexandria via LeMat-Bulk. Energies are from PBE.

Properties
**Calculated total energy**: -8.70 eV per atom
**Crystal system**: tetragonal

Lattice parameters (Å, degrees): 4.023 4.027 4.134 90.00 90.00 90.00
Fractional coordinates of all 4 atoms:
Hg 0.500 0.000 0.500
Mo 0.000 0.500 0.500
W 0.000 0.000 0.000
W 0.500 0.500 0.000


(22)
Here is a relaxed SrMg2CdAg2 crystal from Alexandria via LeMat-Bulk. Energies are from PBE.

Properties
**Calculated total energy**: -2.13 eV per atom
**Crystal system**: trigonal

Lattice parameters (Å, degrees): 4.822 4.822 7.289 90.00 90.00 120.00
Fractional coordinates of all 6 atoms:
Sr 0.000 0.000 0.000
Mg 0.333 0.667 0.668
Mg 0.667 0.333 0.332
Cd 0.000 0.000 0.500
Ag 0.333 0.667 0.276
Ag 0.667 0.333 0.724


(23)
Here is a relaxed TlInOsN2 crystal from Alexandria via LeMat-Bulk. Energies are from PBE.

Properties
**Calculated total energy**: -4.20 eV per atom
**Crystal system**: tetragonal
**Energy relative to the elements, uncorrected**: 11.98 eV per formula unit

Lattice parameters (Å, degrees): 4.230 5.593 4.230 90.00 90.00 90.00
Each line ends with the local moment (μB).
Fractional coordinates of all 5 atoms:
Tl 0.000 0.000 0.000  -0.01
N 0.000 0.000 0.500  0.82
N 0.500 0.000 0.000  1.00
Os 0.000 0.500 0.000  1.86
In 0.500 0.500 0.500  -0.06


(24)
Here is a relaxed KLaIr2 crystal from Alexandria via LeMat-Bulk. Energies are from PBE.

Properties
**Calculated total energy**: -5.50 eV per atom
**Offset from the most stable computed form**: 2.392 eV/f.u.
**Crystal system**: cubic

Lattice parameters (Å, degrees): 5.042 5.042 5.042 60.00 60.00 60.00
Fractional coordinates of all 4 atoms:
K 0.000 0.000 0.000
Ir 0.250 0.250 0.250
Ir 0.750 0.750 0.750
La 0.500 0.500 0.500


(25)
Here is a relaxed LiEuGaAg crystal from Alexandria via LeMat-Bulk. Energies are from PBE.

Properties
**Calculated total energy**: -4.74 eV per atom
**Crystal system**: cubic

Lattice parameters (Å, degrees): 4.908 4.908 4.908 60.00 60.00 60.00
Each line ends with the local moment (μB).
Fractional coordinates of all 4 atoms:
Eu 0.750 0.750 0.750  6.79
Ga 0.000 0.000 0.000  0.00
Ag 0.250 0.250 0.250  0.00
Li 0.500 0.500 0.500  0.01


(26)
Here is a relaxed SrLi2P crystal from Alexandria via LeMat-Bulk. Energies are from PBE.

Properties
**Calculated total energy**: -2.92 eV per atom
**Crystal system**: orthorhombic

Lattice parameters (Å, degrees): 3.525 3.990 6.354 90.00 90.00 90.00
Fractional coordinates of all 4 atoms:
Li 0.000 0.000 0.074
Li 0.000 0.000 0.426
P 0.500 0.500 0.250
Sr 0.500 0.500 0.750